<1>
This record from the Alexandria database describes a relaxed structure of K3IO4. The functional is PBE-GGA.

Output
volume = 358 Å³ per cell
total magnetic moment = 0.00 μB/cell

The structure in CIF format:
```
data_K3IO4
_chemical_formula_sum 'K6 I2 O8'
_cell_length_a 8.527
_cell_length_b 7.354
_cell_length_c 5.709
_cell_angle_alpha 90.00
_cell_angle_beta 90.00
_cell_angle_gamma 90.00
_space_group_name_H-M_alt 'P m n 21'
_space_group_IT_number 31
loop_
_space_group_symop_operation_xyz
'x,y,z'
'-x+1/2,-y,z+1/2'
'-x,y,z'
'x+1/2,-y,z+1/2'
loop_
_atom_site_label
_atom_site_fract_x
_atom_site_fract_y
_atom_site_fract_z
K1 0.000 0.153 0.000
K2 0.243 0.326 0.499
I1 0.000 0.824 0.495
O1 0.000 0.091 0.490
O2 0.000 0.820 0.168
O3 0.201 0.692 0.495
```


<2>
This record from the Alexandria database describes a relaxed structure of K3IO4. The functional is PBE-GGA.

Output
volume = 334 Å³ per cell
total magnetic moment = 0.00 μB/cell

The structure in CIF format:
```
data_K3IO4
_chemical_formula_sum 'K6 I2 O8'
_cell_length_a 6.272
_cell_length_b 9.284
_cell_length_c 5.734
_cell_angle_alpha 90.00
_cell_angle_beta 90.00
_cell_angle_gamma 90.00
_space_group_name_H-M_alt 'I m m 2'
_space_group_IT_number 44
loop_
_space_group_symop_operation_xyz
'x,y,z'
'-x,-y,z'
'-x,y,z'
'x,-y,z'
'x+1/2,y+1/2,z+1/2'
'-x+1/2,-y+1/2,z+1/2'
'-x+1/2,y+1/2,z+1/2'
'x+1/2,-y+1/2,z+1/2'
loop_
_atom_site_label
_atom_site_fract_x
_atom_site_fract_y
_atom_site_fract_z
K1 0.000 0.000 0.000
K2 0.000 0.240 0.504
I1 0.000 0.500 0.021
O1 0.000 0.288 0.027
O2 0.236 0.500 0.826
```


What should be chosen as the least stable of them? Choose <2>.


<1>
This record from the Alexandria database describes a relaxed structure of KI2O. The functional is PBE-GGA.

Output
volume = 527 Å³ per cell
total magnetic moment = 12.00 μB/cell

The structure in CIF format:
```
data_KI2O
_chemical_formula_sum 'K4 I8 O4'
_cell_length_a 8.077
_cell_length_b 8.077
_cell_length_c 8.077
_cell_angle_alpha 90.00
_cell_angle_beta 90.00
_cell_angle_gamma 90.00
_space_group_name_H-M_alt 'F m -3 m'
_space_group_IT_number 225
_space_group_name_Hall '-F 4 2 3'
loop_
_atom_site_label
_atom_site_fract_x
_atom_site_fract_y
_atom_site_fract_z
K1 0.000 0.000 0.000
I1 0.250 0.250 0.250
O1 0.000 0.000 0.500
```


<2>
This record from the Alexandria database describes a relaxed structure of KI2O. The functional is PBE-GGA.

Output
volume = 633 Å³ per cell
total magnetic moment = 0.00 μB/cell

The structure in CIF format:
```
data_KI2O
_chemical_formula_sum 'K4 I8 O4'
_cell_length_a 7.325
_cell_length_b 7.325
_cell_length_c 11.796
_cell_angle_alpha 90.00
_cell_angle_beta 90.00
_cell_angle_gamma 90.00
_space_group_name_H-M_alt 'I -4 2 d'
_space_group_IT_number 122
_space_group_name_Hall 'I -4 2bw'
loop_
_atom_site_label
_atom_site_fract_x
_atom_site_fract_y
_atom_site_fract_z
K1 0.000 0.000 0.000
I1 0.001 0.250 0.625
O1 0.000 0.000 0.500
```


What should be chosen as the least stable of them? Choose <1>.


<1>
This record from the Alexandria database describes a relaxed structure of K4IO4. The functional is PBE-GGA.

Output
volume = 378 Å³ per cell
total magnetic moment = 1.92 μB/cell

The structure in CIF format:
```
data_K4IO4
_chemical_formula_sum 'K8 I2 O8'
_cell_length_a 8.352
_cell_length_b 8.352
_cell_length_c 5.413
_cell_angle_alpha 90.00
_cell_angle_beta 90.00
_cell_angle_gamma 90.00
_space_group_name_H-M_alt 'I 4/m'
_space_group_IT_number 87
_space_group_name_Hall '-I 4'
loop_
_atom_site_label
_atom_site_fract_x
_atom_site_fract_y
_atom_site_fract_z
K1 0.105 0.698 0.000
I1 0.000 0.000 0.500
O1 0.076 0.761 0.500
```


<2>
This record from the Alexandria database describes a relaxed structure of K4IO4. The functional is PBE-GGA.

Output
volume = 1309 Å³ per cell
total magnetic moment = 2.35 μB/cell

The structure in CIF format:
```
data_K4IO4
_chemical_formula_sum 'K16 I4 O16'
_cell_length_a 11.966
_cell_length_b 12.935
_cell_length_c 8.455
_cell_angle_alpha 90.00
_cell_angle_beta 90.00
_cell_angle_gamma 90.00
_space_group_name_H-M_alt 'F m m 2'
_space_group_IT_number 42
_space_group_name_Hall 'F 2 -2'
loop_
_atom_site_label
_atom_site_fract_x
_atom_site_fract_y
_atom_site_fract_z
K1 0.000 0.214 0.000
K2 0.214 0.000 0.165
I1 0.000 0.000 0.737
O1 0.000 0.151 0.717
O2 0.120 0.000 0.884
```


What should be chosen as the least stable of them? Choose <2>.


<1>
This record from the Alexandria database describes a relaxed structure of K2IO5. The functional is PBE-GGA.

Output
volume = 532 Å³ per cell
total magnetic moment = 4.08 μB/cell

The structure in CIF format:
```
data_K2IO5
_chemical_formula_sum 'K8 I4 O20'
_cell_length_a 13.208
_cell_length_b 6.323
_cell_length_c 7.563
_cell_angle_alpha 90.00
_cell_angle_beta 122.58
_cell_angle_gamma 90.00
_space_group_name_H-M_alt 'C 1 c 1'
_space_group_IT_number 9
loop_
_space_group_symop_operation_xyz
'x,y,z'
'x,-y,z+1/2'
'x+1/2,y+1/2,z'
'x+1/2,-y+1/2,z+1/2'
loop_
_atom_site_label
_atom_site_fract_x
_atom_site_fract_y
_atom_site_fract_z
K1 0.000 0.000 0.000
K2 0.170 0.497 0.070
I1 0.335 0.000 0.034
O1 0.178 0.098 0.411
O2 0.278 0.264 0.915
O3 0.335 0.118 0.284
O4 0.391 0.265 0.652
O5 0.492 0.096 0.157
```


<2>
This record from the Alexandria database describes a relaxed structure of K2IO5. The functional is PBE-GGA.

Output
volume = 339 Å³ per cell
total magnetic moment = 1.80 μB/cell

The structure in CIF format:
```
data_K2IO5
_chemical_formula_sum 'K4 I2 O10'
_cell_length_a 6.379
_cell_length_b 6.379
_cell_length_c 8.330
_cell_angle_alpha 90.00
_cell_angle_beta 90.00
_cell_angle_gamma 90.00
_space_group_name_H-M_alt 'I 4 m m'
_space_group_IT_number 107
_space_group_name_Hall 'I 4 -2'
loop_
_atom_site_label
_atom_site_fract_x
_atom_site_fract_y
_atom_site_fract_z
K1 0.000 0.500 0.000
I1 0.000 0.000 0.264
O1 0.000 0.000 0.479
O2 0.200 0.200 0.207
```


What should be chosen as the least stable of them? Choose <2>.